TbUPb2O6 (GGA-PBE, optimized geometry); uncorrected energy = -7.792 eV per atom; space group = P2_1/c
1.0
-2.454 -5.508 0.012
0.000 -0.014 -6.154
7.872 -3.525 0.008
Tb U Pb O
2 2 4 12
Direct
0.500 0.000 0.000
0.000 0.500 0.500
0.500 0.000 0.500
0.000 0.500 0.000
0.006 0.972 0.251
0.506 0.528 0.751
0.994 0.028 0.749
0.494 0.472 0.249
0.294 0.691 0.046
0.794 0.809 0.546
0.706 0.309 0.954
0.206 0.191 0.454
0.311 0.708 0.450
0.811 0.792 0.950
0.689 0.292 0.550
0.189 0.208 0.050
0.904 0.525 0.242
0.404 0.975 0.742
0.096 0.475 0.758
0.596 0.025 0.258


TbEuPd2 (GGA-PBE, optimized geometry); ΔE_f = -0.640 eV per atom; space group = R-3m
1.0
-1.046 0.738 3.946
2.319 -1.529 3.082
4.273 5.470 2.291
Eu Tb Pd
1 1 2
Direct
0.500 0.500 0.500
0.000 0.000 0.000
0.743 0.743 0.770
0.257 0.257 0.230